The following is a GGA-PBE calculation of crystalline BaMg2AlAu4 at its relaxed geometry, from Alexandria.

Output
Theoretical density in g/cm3: 9.264
DFT formation energy in eV per formula unit: -4.50
DFT total energy in eV/atom: -3.3077
Magnetization in Bohr magnetons per cell: 0.000

a b c (Å): 4.575 4.575 10.243
angles (deg): 77.10 77.10 60.00
Fractional coordinates of all 8 atoms:
Ba: 0.000 0.000 0.000
Mg: 0.767 0.767 0.699
Mg: 0.233 0.233 0.301
Al: 0.500 0.500 0.500
Au: 0.409 0.409 0.774
Au: 0.862 0.862 0.414
Au: 0.138 0.138 0.586
Au: 0.591 0.591 0.226